[1]
Below is a relaxed TaInSb2 crystal, with properties calculated at the PBE level.

Properties
Uncorrected formation energy in eV per atom: 0.24
N(E_F) in states/eV per atom: 0.512
Electronic total energy in eV per atom: -5.4664
Total moment in μB per atom: 0.000

a = 3.7830 Å, b = 4.9832 Å, c = 10.6016 Å
α = 90.00°, β = 90.00°, γ = 90.00°
With the nearest neighbours (Å) after each atom.
Space group Cmm2 (No. 35)
Symmetry-distinct sites (fractional):
Ta (0.0000, 0.0000, 0.0000) [2 per cell]  2 Sb 2.87, 2 In 2.93, 4 Ta 3.13
In (0.0000, 0.5000, 0.2111) [2 per cell]  2 Ta 2.93, 4 In 3.13, 2 Sb 3.17
Sb (0.0000, 0.0000, 0.4513) [2 per cell]  4 Sb 3.13, 2 In 3.17
Sb (0.0000, 0.5000, 0.7958) [2 per cell]  2 Ta 2.87, 4 Sb 3.13


[2]
Below is a relaxed Ta2InSb crystal, with properties calculated at the PBE level.

Properties
Uncorrected formation energy in eV per atom: 0.55
Offset from the most stable computed form in meV per atom: 428
N(E_F) in states/eV per atom: 1.615
Electronic total energy in eV per atom: -7.0932
Total moment in μB per atom: 0.000

a = 6.9146 Å, b = 6.9146 Å, c = 6.9146 Å
α = 90.00°, β = 90.00°, γ = 90.00°
With the nearest neighbours (Å) after each atom.
Space group F-43m (No. 216)
Symmetry-distinct sites (fractional):
Ta (0.0000, 0.0000, 0.0000) [4 per cell]  4 Ta 2.99, 4 In 2.99
Ta (0.2500, 0.2500, 0.2500) [4 per cell]  4 Ta 2.99, 4 Sb 2.99
In (0.2500, 0.2500, 0.7500) [4 per cell]  4 Ta 2.99, 4 Sb 2.99
Sb (0.0000, 0.0000, 0.5000) [4 per cell]  4 Ta 2.99, 4 In 2.99


[3]
Below is a relaxed Ta2InSb crystal, with properties calculated at the PBE level.

Properties
Uncorrected formation energy in eV per atom: 0.28
Offset from the most stable computed form in meV per atom: 156
N(E_F) in states/eV per atom: 0.780
Electronic total energy in eV per atom: -7.3651
Total moment in μB per atom: 0.000

a = 10.5146 Å, b = 3.0755 Å, c = 5.1536 Å
α = 90.00°, β = 104.10°, γ = 90.00°
With the nearest neighbours (Å) after each atom.
Space group Cm (No. 8)
Symmetry-distinct sites (fractional):
Ta (0.0000, 0.0000, 0.0000) [2 per cell]  3 Sb 2.95-3.01, 4 In 2.98-3.03, 4 Ta 3.01-3.08
Ta (0.2323, 0.5000, 0.3194) [2 per cell]  3 In 2.94-3.00, 4 Sb 3.00-3.02, 4 Ta 3.01-3.08
In (0.4839, 0.0000, 0.4869) [2 per cell]  7 Ta 2.94-3.03, 2 In 3.08
Sb (0.2545, 0.0000, 0.8318) [2 per cell]  7 Ta 2.95-3.02, 2 Sb 3.08


[4]
Below is a relaxed Ta2InSb crystal, with properties calculated at the PBE level.

Properties
Uncorrected formation energy in eV per atom: 0.31
Offset from the most stable computed form in meV per atom: 191
N(E_F) in states/eV per atom: 0.515
Electronic total energy in eV per atom: -7.3300
Total moment in μB per atom: 0.000

a = 3.5767 Å, b = 4.5649 Å, c = 4.9409 Å
α = 90.00°, β = 90.00°, γ = 90.00°
With the nearest neighbours (Å) after each atom.
Space group Pmmm (No. 47)
Symmetry-distinct sites (fractional):
Ta (0.0000, 0.0000, 0.0000) [1 per cell]  4 Sb 2.90, 4 Ta 3.05
Ta (0.5000, 0.0000, 0.5000) [1 per cell]  4 In 2.90, 4 Ta 3.05
In (0.0000, 0.5000, 0.5000) [1 per cell]  4 Ta 2.90, 4 Sb 3.05
Sb (0.5000, 0.5000, 0.0000) [1 per cell]  4 Ta 2.90, 4 In 3.05


no.,calculated volume (Å³/atom)
1,25.0
2,20.7
3,20.2
4,20.2